1.
Computed, not measured: CeDy8Ho2 after structural relaxation at the GGA-PBE level of DFT.

theoretical density	8.53	g/cm3
size of the total moment	0.10	μB/atom

The structure in CIF format:
```
data_CeDy8Ho2
_chemical_formula_sum 'Ce2 Dy16 Ho4'
_symmetry_space_group_name_H-M 'C 1 2/m 1'
_symmetry_Int_Tables_number 12
_cell_length_a 18.0542
_cell_length_b 5.0011
_cell_length_c 7.9114
_cell_angle_alpha 90.00
_cell_angle_beta 105.25
_cell_angle_gamma 90.00
loop_
_symmetry_equiv_pos_as_xyz
'x,y,z'
'-x,-y,-z'
'-x,y,-z'
'x,-y,z'
'x+1/2,y+1/2,z'
'-x+1/2,-y+1/2,-z'
'-x+1/2,y+1/2,-z'
'x+1/2,-y+1/2,z'
loop_
_atom_site_label
_atom_site_fract_x
_atom_site_fract_y
_atom_site_fract_z
Ce1 0.0000 0.0000 0.0000
Dy1 0.0451 0.5000 0.7304
Dy2 0.0908 0.0000 0.4545
Dy3 0.1362 0.5000 0.1813
Dy4 0.1806 0.0000 0.9083
Ho1 0.2284 0.5000 0.6368
```

***

2.
Computed, not measured: CeDy8Ho2 after structural relaxation at the GGA-PBE level of DFT.

theoretical density	8.09	g/cm3
size of the total moment	0.10	μB/atom

The structure in CIF format:
```
data_CeDy8Ho2
_chemical_formula_sum 'Ce2 Dy16 Ho4'
_symmetry_space_group_name_H-M 'C 1 2/m 1'
_symmetry_Int_Tables_number 12
_cell_length_a 19.0628
_cell_length_b 6.8884
_cell_length_c 5.5387
_cell_angle_alpha 90.00
_cell_angle_beta 92.92
_cell_angle_gamma 90.00
loop_
_symmetry_equiv_pos_as_xyz
'x,y,z'
'-x,-y,-z'
'-x,y,-z'
'x,-y,z'
'x+1/2,y+1/2,z'
'-x+1/2,-y+1/2,-z'
'-x+1/2,y+1/2,-z'
'x+1/2,-y+1/2,z'
loop_
_atom_site_label
_atom_site_fract_x
_atom_site_fract_y
_atom_site_fract_z
Ce1 0.0000 0.0000 0.0000
Dy1 0.0464 0.5000 0.2378
Dy2 0.1327 0.2657 0.7332
Dy3 0.1875 0.0000 0.2333
Ho1 0.2161 0.5000 0.2502
```

***

Consider the structures shown above. The least stable of them is 2.